Compound: LaTa3Fe
Source: Alexandria
Functional: PBE
Structure: relaxed

Cell lengths 4.745, 4.745, 4.745 Å; angles 90.00, 90.00, 90.00 degrees
Fractional coordinates of all 5 atoms:
La (0.000, 0.000, 0.000)
Ta (0.000, 0.500, 0.500)
Ta (0.500, 0.000, 0.500)
Ta (0.500, 0.500, 0.000)
Fe (0.500, 0.500, 0.500)

Results
Symmetry = No. 221
Formation enthalpy at 0 K = 0.56 eV per atom


Compound: YZr4Tl5
Source: Alexandria
Functional: PBE
Structure: relaxed

Cell lengths 3.834, 3.834, 16.280 Å; angles 90.00, 90.00, 90.00 degrees
Fractional coordinates of all 10 atoms:
Y (0.000, 0.000, 0.000)
Zr (0.000, 0.000, 0.213)
Zr (0.000, 0.000, 0.401)
Zr (0.000, 0.000, 0.599)
Zr (0.000, 0.000, 0.787)
Tl (0.500, 0.500, 0.110)
Tl (0.500, 0.500, 0.306)
Tl (0.500, 0.500, 0.500)
Tl (0.500, 0.500, 0.694)
Tl (0.500, 0.500, 0.890)

Results
Symmetry = No. 123
Formation enthalpy at 0 K = -0.06 eV per atom


Compound: Ni4IrRu
Source: Alexandria
Functional: PBE
Structure: relaxed

Cell lengths 5.596, 5.596, 3.710 Å; angles 90.00, 90.00, 141.25 degrees
Fractional coordinates of all 6 atoms:
Ni (0.169, 0.831, 0.000)
Ni (0.331, 0.669, 0.500)
Ni (0.669, 0.331, 0.500)
Ni (0.831, 0.169, 0.000)
Ir (0.000, 0.000, 0.500)
Ru (0.500, 0.500, 0.000)

Results
Symmetry = No. 65
Formation enthalpy at 0 K = 0.08 eV per atom


Compound: RbCe2TcO8
Source: Alexandria
Functional: PBE
Structure: relaxed

Cell lengths 5.246, 5.248, 7.507 Å; angles 83.27, 83.15, 82.21 degrees
Fractional coordinates of all 12 atoms:
Rb (0.000, 0.000, 0.000)
Ce (0.459, 0.459, 0.236)
Ce (0.541, 0.541, 0.764)
Tc (0.000, 0.000, 0.500)
O (0.188, 0.795, 0.679)
O (0.208, 0.815, 0.320)
O (0.240, 0.244, 0.474)
O (0.340, 0.345, 0.999)
O (0.660, 0.655, 0.001)
O (0.760, 0.756, 0.526)
O (0.792, 0.185, 0.680)
O (0.812, 0.205, 0.321)

Results
Symmetry = No. 2
ΔE_f (raw) = -2.20 eV/atom


Compound: Cs2TlP
Source: Alexandria
Functional: PBE
Structure: relaxed

Cell lengths 8.173, 10.903, 7.578 Å; angles 90.00, 90.00, 90.00 degrees
Fractional coordinates of all 16 atoms:
Cs (0.199, 0.075, 0.173)
Cs (0.199, 0.425, 0.173)
Cs (0.301, 0.575, 0.673)
Cs (0.301, 0.925, 0.673)
Cs (0.699, 0.075, 0.327)
Cs (0.699, 0.425, 0.327)
Cs (0.801, 0.575, 0.827)
Cs (0.801, 0.925, 0.827)
Tl (0.054, 0.250, 0.613)
Tl (0.446, 0.750, 0.113)
Tl (0.554, 0.250, 0.887)
Tl (0.946, 0.750, 0.387)
P (0.097, 0.750, 0.073)
P (0.403, 0.250, 0.573)
P (0.597, 0.750, 0.427)
P (0.903, 0.250, 0.927)

Results
Symmetry = No. 62
Formation enthalpy at 0 K = -0.18 eV per atom


Compound: Cu2SBr
Source: Alexandria
Functional: PBE
Structure: relaxed

Cell lengths 4.547, 4.547, 4.547 Å; angles 60.00, 60.00, 60.00 degrees
Fractional coordinates of all 4 atoms:
Cu (0.250, 0.250, 0.250)
Cu (0.750, 0.750, 0.750)
S (0.000, 0.000, 0.000)
Br (0.500, 0.500, 0.500)

Results
Symmetry = No. 225
ΔE_f (raw) = 0.46 eV/atom


Energy / eV per cell: -46.13 -53.11 -40.75 -89.27 -40.76 -12.15
Total magnetization / μB/f.u.: 0.0 0.0 1.4 0.0 0.0 0.0